Entry 1:
TaMo3 | meta-GGA SCAN | single point on PBEsol structure

Output
Raw total energy, eV per atom: -42.90
Symmetry: P2/m (10)
Crystal system: monoclinic
E_form, eV per atom: -0.094

Cell: 2.753 4.444 10.373 Å, 90.00 95.24 90.00°
Fractional coordinates of all 8 atoms:
Ta 0.132 0.000 0.371
Ta 0.868 0.000 0.629
Mo 0.000 0.500 0.000
Mo 0.252 0.500 0.756
Mo 0.380 0.000 0.122
Mo 0.500 0.500 0.500
Mo 0.620 0.000 0.878
Mo 0.748 0.500 0.244


Entry 2:
BaAgMo | meta-GGA SCAN | single point on PBEsol structure

Output
Raw total energy, eV per atom: -33.62
Symmetry: F-43m (216)
Crystal system: cubic
E_form, eV per atom: 1.649
ΔE to the lowest computed polymorph, meV/atom: 367

Cell: 5.029 5.029 5.029 Å, 60.00 60.00 60.00°
Fractional coordinates of all 3 atoms:
Ba 0.000 0.000 0.000
Ag 0.750 0.750 0.750
Mo 0.250 0.250 0.250


Look up the E_form of the second one.
1.649 eV per atom


Among the records above, which one has the lowest raw total energy?
TaMo3